MnTcPRu | PBE-GGA | relaxed

Calculated values
Its density of states at the Fermi level is 9.40 states/eV/cell. The calculation puts the formation energy from the elements at -26.1 kJ per mole of atoms. The calculation puts the calculated total energy at -8.8254 eV per atom.

Lattice parameters (Å, degrees): 5.9050 5.9050 5.9050 90.00 90.00 90.00
Last column: nearest neighbours and their distance in Å.
Space group F-43m (No. 216)
Asymmetric unit:
Mn (0.0000, 0.0000, 0.0000) x4  4 Ru 2.56, 4 Tc 2.56
Tc (0.2500, 0.2500, 0.7500) x4  4 Mn 2.56, 4 P 2.56
P (0.0000, 0.0000, 0.5000) x4  4 Tc 2.56, 4 Ru 2.56
Ru (0.2500, 0.2500, 0.2500) x4  4 Mn 2.56, 4 P 2.56



Si2GeCl | PBE-GGA | relaxed

Calculated values
Its density of states at the Fermi level is 14.23 states/eV/cell. The calculation puts the formation energy without anion corrections at 0.58 eV/atom. The calculation puts the calculated total energy at -3.7494 eV per atom.

Lattice parameters (Å, degrees): 6.4994 6.4994 9.4983 90.00 90.00 90.00
Last column: nearest neighbours and their distance in Å.
Space group I-42d (No. 122)
Asymmetric unit:
Si (0.2124, 0.2500, 0.1250) x8  2 Ge 2.44
Ge (0.0000, 0.0000, 0.0000) x4  4 Si 2.44
Cl (0.0000, 0.0000, 0.5000) x4  4 Si 2.75



ScMoPb | PBE-GGA | relaxed

Calculated values
Its density of states at the Fermi level is 6.58 states/eV/cell. The calculation puts the formation energy from the elements at 31.4 kJ per mole of atoms. The calculation puts the calculated total energy at -6.6316 eV per atom.

Lattice parameters (Å, degrees): 3.0961 3.0961 13.4031 90.00 90.00 90.00
Last column: nearest neighbours and their distance in Å.
Space group I4mm (No. 107)
Asymmetric unit:
Sc (0.0000, 0.0000, 0.0000) x2  4 Mo 2.94, 4 Sc 3.10
Mo (0.0000, 0.0000, 0.6464) x2  4 Sc 2.94, 4 Pb 3.08, 4 Mo 3.10
Pb (0.0000, 0.0000, 0.3082) x2  4 Mo 3.08, 4 Pb 3.10, 4 Sc 3.38



LaDy2Re | PBE-GGA | relaxed

Calculated values
Its density of states at the Fermi level is 18.53 states/eV/cell. The calculation puts the formation energy from the elements at 79.3 kJ per mole of atoms. The calculation puts the calculated total energy at -5.8233 eV per atom.

Lattice parameters (Å, degrees): 3.2529 3.2529 34.5739 90.00 90.00 120.00
Last column: nearest neighbours and their distance in Å.
Space group R-3m (No. 166, hexagonal axes)
Asymmetric unit:
La (0.0000, 0.0000, 0.0000) x3  6 La 3.25, 6 Dy 3.63
Dy (0.0000, 0.0000, 0.4231) x6  1 Re 2.66
Re (0.0000, 0.0000, 0.5000) x3  2 Dy 2.66